No. 1
# TaTlSeBr2 | Alexandria | PBE | optimized geometry
data_TaTlSeBr2
_space_group_name_H-M_alt 'P 1'
_space_group_IT_number 1
_cell_length_a 5.283
_cell_length_b 5.283
_cell_length_c 5.064
_cell_angle_alpha 90.00
_cell_angle_beta 90.00
_cell_angle_gamma 90.00
loop_
_space_group_symop_operation_xyz
'x,y,z'
loop_
_atom_site_label
_atom_site_fract_x
_atom_site_fract_y
_atom_site_fract_z
Ta1 0.000 0.000 0.000
Tl1 0.500 0.500 0.500
Se1 0.000 0.000 0.500
Br1 0.000 0.500 0.000
Br2 0.500 0.000 0.000
# final energy	-22.857	eV for the cell shown
# excess energy over the best structure of this formula in the dataset	0	meV per atom
# E_form (uncorrected)	-362	meV per atom
# space-group type	No. 123

---

No. 2
# HfSbTe2F | Alexandria | PBE | optimized geometry
data_HfSbTe2F
_space_group_name_H-M_alt 'P 1'
_space_group_IT_number 1
_cell_length_a 5.238
_cell_length_b 5.238
_cell_length_c 4.376
_cell_angle_alpha 90.00
_cell_angle_beta 90.00
_cell_angle_gamma 90.00
loop_
_space_group_symop_operation_xyz
'x,y,z'
loop_
_atom_site_label
_atom_site_fract_x
_atom_site_fract_y
_atom_site_fract_z
Hf1 0.000 0.000 0.000
Sb1 0.500 0.500 0.000
Te1 0.000 0.500 0.500
Te2 0.500 0.000 0.500
F1 0.500 0.500 0.500
# final energy	-22.500	eV for the cell shown
# excess energy over the best structure of this formula in the dataset	139	meV per atom
# E_form (uncorrected)	-54	meV per atom
# space-group type	No. 123